Below is a geometry-optimized Li2Ag5Au structure, with properties calculated at the GGA-PBE level.

ΔE_f	-175	meV/atom
space-group type	Pbam (55)

Cell and atoms, written as POSCAR:
```
Li2Ag5Au
1.0
5.849 0.000 0.000
0.000 11.652 0.000
0.000 0.000 3.997
Li Ag Au
4 10 2
direct
0.239 0.121 0.000
0.261 0.621 0.000
0.739 0.379 0.000
0.761 0.879 0.000
0.000 0.500 0.500
0.006 0.750 0.500
0.245 0.374 0.000
0.255 0.874 0.000
0.494 0.250 0.500
0.500 0.000 0.500
0.506 0.750 0.500
0.745 0.126 0.000
0.755 0.626 0.000
0.994 0.250 0.500
0.000 0.000 0.500
0.500 0.500 0.500
```

---

Below is a geometry-optimized Li6Ag12Au structure, with properties calculated at the GGA-PBE level.

ΔE_f	-124	meV/atom
space-group type	R-3 (148)

Cell and atoms, written as POSCAR:
```
Li6Ag12Au
1.0
4.800 2.771 4.097
-4.800 2.771 4.097
0.000 -5.542 4.097
Li Ag Au
6 12 1
direct
0.230 0.769 0.614
0.231 0.386 0.770
0.386 0.770 0.231
0.614 0.230 0.769
0.769 0.614 0.230
0.770 0.231 0.386
0.027 0.937 0.302
0.063 0.698 0.973
0.127 0.474 0.337
0.302 0.027 0.937
0.337 0.127 0.474
0.474 0.337 0.127
0.526 0.663 0.873
0.663 0.873 0.526
0.698 0.973 0.063
0.873 0.526 0.663
0.937 0.302 0.027
0.973 0.063 0.698
0.500 0.500 0.500
```

---

- Among the records above, which one has the highest ΔE_f?
  Li6Ag12Au

---

- What is the ΔE_f in the second record?
  -124 meV/atom

---

Repeat the first record exactly.
Below is a geometry-optimized Li2Ag5Au structure, with properties calculated at the GGA-PBE level.

ΔE_f	-175	meV/atom
space-group type	Pbam (55)

Cell and atoms, written as POSCAR:
```
Li2Ag5Au
1.0
5.849 0.000 0.000
0.000 11.652 0.000
0.000 0.000 3.997
Li Ag Au
4 10 2
direct
0.239 0.121 0.000
0.261 0.621 0.000
0.739 0.379 0.000
0.761 0.879 0.000
0.000 0.500 0.500
0.006 0.750 0.500
0.245 0.374 0.000
0.255 0.874 0.000
0.494 0.250 0.500
0.500 0.000 0.500
0.506 0.750 0.500
0.745 0.126 0.000
0.755 0.626 0.000
0.994 0.250 0.500
0.000 0.000 0.500
0.500 0.500 0.500
```